No. 1
## HfTi3Tl (PBE)

Data for a relaxed structure of HfTi3Tl.

It has space group I4mm (No. 107), with a = 3.831 Å, b = 3.831 Å, c = 13.948 Å, α = 90.00°, β = 90.00° and γ = 90.00°. The asymmetric unit holds Hf at (0.000, 0.000, 0.000), Ti at (0.000, 0.000, 0.432), Ti at (0.000, 0.500, 0.299) and Tl at (0.000, 0.000, 0.632).

The calculation puts the polymorph energy (0 for the lowest one) at 0.373 eV per formula unit. The magnetic moment comes out at 0.00 Bohr magnetons per cell. For the formation energy from the elements, the calculation gives 0.16 eV per atom.

***

No. 2
## Hf2Ti15Tl2 (PBE)

Data for a relaxed structure of Hf2Ti15Tl2.

It has space group R-3m (No. 166, hexagonal axes), with a = 9.3050 Å, b = 9.3050 Å, c = 14.4144 Å, α = 90.00°, β = 90.00° and γ = 120.00°. The asymmetric unit holds Hf at (0.0000, 0.0000, 0.1011), Ti at (0.0000, 0.3003, 0.0000), Ti at (0.0000, 0.5000, 0.5000), Ti at (0.0315, 0.5157, 0.1402) and Tl at (0.0000, 0.0000, 0.3232).

The calculation puts the polymorph energy (0 for the lowest one) at 3.465 eV per formula unit. The magnetic moment comes out at 7.83 Bohr magnetons per cell. For the formation energy from the elements, the calculation gives 0.36 eV per atom.

***

No. 3
## Hf3Ti2Tl (PBE)

Data for a relaxed structure of Hf3Ti2Tl.

It has space group Cmmm (No. 65), with a = 4.358 Å, b = 13.535 Å, c = 4.203 Å, α = 90.00°, β = 90.00° and γ = 90.00°. The asymmetric unit holds Hf at (0.000, 0.000, 0.000), Hf at (0.000, 0.330, 0.000), Ti at (0.000, 0.176, 0.500) and Tl at (0.000, 0.500, 0.500).

The calculation puts the polymorph energy (0 for the lowest one) at 0.000 eV per formula unit. The magnetic moment comes out at 0.00 Bohr magnetons per cell. For the formation energy from the elements, the calculation gives 0.03 eV per atom.

***

No. 4
## Hf2TiTl2 (PBE)

Data for a relaxed structure of Hf2TiTl2.

It has space group I4/mmm (No. 139), with a = 4.040 Å, b = 4.040 Å, c = 15.362 Å, α = 90.00°, β = 90.00° and γ = 90.00°. The asymmetric unit holds Hf at (0.000, 0.000, 0.090), Ti at (0.000, 0.000, 0.500) and Tl at (0.000, 0.500, 0.250).

The calculation puts the polymorph energy (0 for the lowest one) at 2.391 eV per formula unit. The magnetic moment comes out at 2.98 Bohr magnetons per cell. For the formation energy from the elements, the calculation gives 0.71 eV per atom.

***

No. 5
## HfTi3Tl (PBE)

Data for a relaxed structure of HfTi3Tl.

It has space group Pm-3m (No. 221), with a = 5.020 Å, b = 5.020 Å, c = 5.020 Å, α = 90.00°, β = 90.00° and γ = 90.00°. The asymmetric unit holds Hf at (0.000, 0.000, 0.000), Ti at (0.000, 0.500, 0.500) and Tl at (0.500, 0.500, 0.500).

The calculation puts the polymorph energy (0 for the lowest one) at 6.142 eV per formula unit. The magnetic moment comes out at 2.97 Bohr magnetons per cell. For the formation energy from the elements, the calculation gives 1.32 eV per atom.

***

No. 6
## HfTiTl (PBE)

Data for a relaxed structure of HfTiTl.

It has space group Pnma (No. 62), with a = 10.653 Å, b = 3.077 Å, c = 8.173 Å, α = 90.00°, β = 90.00° and γ = 90.00°. The asymmetric unit holds Hf at (0.098, 0.250, 0.093), Ti at (0.096, 0.250, 0.728) and Tl at (0.157, 0.750, 0.416).

The calculation puts the polymorph energy (0 for the lowest one) at 0.449 eV per formula unit. The magnetic moment comes out at 0.00 Bohr magnetons per cell. For the formation energy from the elements, the calculation gives 0.19 eV per atom.

***

No. 7
## Hf5Ti3Tl3 (PBE)

Data for a relaxed structure of Hf5Ti3Tl3.

It has space group P-62m (No. 189), with a = 9.6758 Å, b = 9.6758 Å, c = 3.0752 Å, α = 90.00°, β = 90.00° and γ = 120.00°. The asymmetric unit holds Hf at (0.0000, 0.6695, 0.0000), Hf at (0.3333, 0.6667, 0.0000), Ti at (0.0000, 0.1543, 0.0000) and Tl at (0.0000, 0.4014, 0.5000).

The magnetic moment comes out at 0.00 Bohr magnetons per cell. For the formation energy from the elements, the calculation gives 0.54 eV per atom.

***

No. 8
## Hf3Ti2Tl (PBE)

Data for a relaxed structure of Hf3Ti2Tl.

It has space group P4/mmm (No. 123), with a = 3.090 Å, b = 3.090 Å, c = 13.192 Å, α = 90.00°, β = 90.00° and γ = 90.00°. The asymmetric unit holds Hf at (0.000, 0.000, 0.000), Hf at (0.000, 0.000, 0.312), Ti at (0.500, 0.500, 0.159) and Tl at (0.500, 0.500, 0.500).

The calculation puts the polymorph energy (0 for the lowest one) at 0.094 eV per formula unit. The magnetic moment comes out at 0.00 Bohr magnetons per cell. For the formation energy from the elements, the calculation gives 0.05 eV per atom.

***

No. 9
## Hf4Ti3Tl (PBE)

Data for a relaxed structure of Hf4Ti3Tl.

It has space group P4/mmm (No. 123), with a = 4.290 Å, b = 4.290 Å, c = 8.859 Å, α = 90.00°, β = 90.00° and γ = 90.00°. The asymmetric unit holds Hf at (0.000, 0.500, 0.237), Ti at (0.000, 0.000, 0.000), Ti at (0.000, 0.000, 0.500), Ti at (0.500, 0.500, 0.000) and Tl at (0.500, 0.500, 0.500).

The magnetic moment comes out at 0.00 Bohr magnetons per cell. For the formation energy from the elements, the calculation gives 0.04 eV per atom.

***

No. 10
## HfTiTl (PBE)

Data for a relaxed structure of HfTiTl.

It has space group P4_2/mmc (No. 131), with a = 7.263 Å, b = 7.263 Å, c = 5.339 Å, α = 90.00°, β = 90.00° and γ = 90.00°. The asymmetric unit holds Hf at (0.000, 0.198, 0.000), Ti at (0.000, 0.344, 0.500) and Tl at (0.288, 0.500, 0.000).

The calculation puts the polymorph energy (0 for the lowest one) at 1.583 eV per formula unit. The magnetic moment comes out at 0.00 Bohr magnetons per cell. For the formation energy from the elements, the calculation gives 0.57 eV per atom.

***

No. 11
## HfTi3Tl (PBE)

Data for a relaxed structure of HfTi3Tl.

It has space group Pm-3m (No. 221), with a = 4.888 Å, b = 4.888 Å, c = 4.888 Å, α = 90.00°, β = 90.00° and γ = 90.00°. The asymmetric unit holds Hf at (0.000, 0.000, 0.000), Ti at (0.000, 0.000, 0.500) and Tl at (0.500, 0.500, 0.500).

The calculation puts the polymorph energy (0 for the lowest one) at 5.047 eV per formula unit. The magnetic moment comes out at 1.12 Bohr magnetons per cell. For the formation energy from the elements, the calculation gives 1.10 eV per atom.

***

No. 12
## HfTi3Tl (PBE)

Data for a relaxed structure of HfTi3Tl.

It has space group Pnma (No. 62), with a = 9.951 Å, b = 2.963 Å, c = 13.423 Å, α = 90.00°, β = 90.00° and γ = 90.00°. The asymmetric unit holds Hf at (0.113, 0.250, 0.062), Ti at (0.104, 0.250, 0.838), Ti at (0.122, 0.750, 0.664), Ti at (0.140, 0.750, 0.255) and Tl at (0.147, 0.250, 0.451).

The calculation puts the polymorph energy (0 for the lowest one) at 0.000 eV per formula unit. The magnetic moment comes out at 0.00 Bohr magnetons per cell. For the formation energy from the elements, the calculation gives 0.09 eV per atom.

***

Please write out number 7 again, unchanged.
## Hf5Ti3Tl3 (PBE)

Data for a relaxed structure of Hf5Ti3Tl3.

It has space group P-62m (No. 189), with a = 9.6758 Å, b = 9.6758 Å, c = 3.0752 Å, α = 90.00°, β = 90.00° and γ = 120.00°. The asymmetric unit holds Hf at (0.0000, 0.6695, 0.0000), Hf at (0.3333, 0.6667, 0.0000), Ti at (0.0000, 0.1543, 0.0000) and Tl at (0.0000, 0.4014, 0.5000).

The magnetic moment comes out at 0.00 Bohr magnetons per cell. For the formation energy from the elements, the calculation gives 0.54 eV per atom.